Entry 1
Density functional theory data (GGA+U) for an optimized crystal structure of CoTePdO.

Lattice parameters (Å, degrees): 5.8233 5.8498 7.8720 90.00 90.00 90.00
Last column: nearest neighbours and their distance in Å.
Space group P2_12_12_1 (No. 19)
One atom of each set of equivalent atoms:
Co 0.0035 0.2489 0.0086 x4  2 O 1.93-1.94
Te 0.2458 0.4966 0.7506 x4  4 Co 2.81-2.91, 4 Pd 2.84-2.87
Pd 0.0023 0.7511 0.0017 x4  2 O 2.21
O 0.2459 0.9660 0.5121 x4  2 Co 1.93-1.94


Entry 2
Density functional theory data (GGA+U) for an optimized crystal structure of CoTePdO.

Lattice parameters (Å, degrees): 6.6227 10.9992 7.5787 90.00 90.00 90.00
Last column: nearest neighbours and their distance in Å.
Space group Pbca (No. 61)
One atom of each set of equivalent atoms:
Co 0.2276 0.1149 0.0132 x8  1 O 1.87
Te 0.0089 0.0117 0.7453 x8  2 Pd 2.71-2.79, 4 Co 2.74-2.93
Pd 0.0035 0.7348 0.2442 x8  2 O 2.04-2.06
O 0.2467 0.7316 0.4103 x8  1 Co 1.87, 2 Pd 2.04-2.06


In order of decreasing stability: entry 1, entry 2.